Entry 1:
{
  "formula": "Er7MgAl5",
  "functional": "GGA-PBE",
  "state": "optimized geometry",
  "lattice": [[-0.758, 5.706, -2.129], [-4.972, 0.353, -6.128], [-6.113, 3.732, 3.331]],
  "species": ["Er", "Er", "Er", "Al", "Al", "Mg", "Er", "Al", "Er", "Al", "Er", "Er", "Al"],
  "fractional_positions": [[0.999, 0.334, 0.669], [0.312, 0.688, 0.688], [0.273, 0.227, 0.227], [0.993, 0.501, 0.995], [0.511, 0.501, 0.995], [0.977, 0.023, 0.023], [0.656, 0.344, 0.344], [0.752, 0.748, 0.748], [0.512, 0.803, 0.174], [0.511, 0.995, 0.501], [0.999, 0.669, 0.334], [0.512, 0.174, 0.803], [0.993, 0.995, 0.501]],
  "e_form_ev_per_atom": -0.196
}

---

Entry 2:
{
  "formula": "BiMo2P",
  "functional": "GGA-PBE",
  "state": "optimized geometry",
  "lattice": [[-3.271, -0.273, 2.781], [0.409, -4.282, 0.061], [4.218, -1.642, 8.128]],
  "species": ["Bi", "Mo", "Bi", "Mo", "P", "Mo", "Mo", "P"],
  "fractional_positions": [[0.000, 0.000, 0.000], [0.531, 0.125, 0.250], [0.750, 0.250, 0.500], [0.219, 0.625, 0.250], [0.250, 0.750, 0.500], [0.375, 0.469, 0.750], [0.875, 0.781, 0.750], [0.500, 0.500, 0.000]],
  "e_form_ev_per_atom": 0.553
}

---

Entry 3:
{
  "formula": "TcCl2",
  "functional": "GGA-PBE",
  "state": "optimized geometry",
  "lattice": [[7.098, 0.037, 0.000], [5.714, 4.211, 0.000], [-6.406, -2.124, 2.198]],
  "species": ["Tc", "Cl", "Cl"],
  "fractional_positions": [[0.000, 0.000, 0.000], [0.387, 0.387, 0.000], [0.613, 0.613, 0.000]],
  "formation_energy_uncorrected_mev_per_atom": 208
}

---

Entry 4:
{
  "formula": "Mg3Cu2Pd",
  "functional": "GGA-PBE",
  "state": "optimized geometry",
  "lattice": [[3.196, 0.000, 0.000], [0.000, 3.196, 0.000], [0.000, 0.000, 9.319]],
  "species": ["Pd", "Mg", "Cu", "Cu", "Mg", "Mg"],
  "fractional_positions": [[0.500, 0.500, 0.500], [0.000, 0.000, 0.332], [0.500, 0.500, 0.836], [0.500, 0.500, 0.164], [0.000, 0.000, 0.668], [0.000, 0.000, 0.000]],
  "e_form_ev_per_atom": -0.310
}

---

Entry 5:
{
  "formula": "SrMg2Cu",
  "functional": "GGA-PBE",
  "state": "optimized geometry",
  "lattice": [[6.292, 0.012, 0.034], [5.367, 3.284, 0.034], [2.360, 0.667, 4.888]],
  "species": ["Cu", "Sr", "Mg", "Mg"],
  "fractional_positions": [[0.750, 0.750, 0.750], [0.250, 0.250, 0.250], [0.049, 0.049, 0.951], [0.451, 0.451, 0.549]],
  "e_form_ev_per_atom": 0.022
}

---

Entry 6:
{
  "formula": "TmHfMn17",
  "functional": "GGA-PBE",
  "state": "optimized geometry",
  "lattice": [[6.166, 0.078, 0.814], [0.724, 6.124, 0.814], [0.086, 0.078, 6.219]],
  "species": ["Tm", "Mn", "Mn", "Mn", "Mn", "Mn", "Hf", "Mn", "Mn", "Mn", "Mn", "Mn", "Mn", "Mn", "Mn", "Mn", "Mn", "Mn", "Mn"],
  "fractional_positions": [[0.656, 0.656, 0.656], [0.092, 0.092, 0.092], [0.909, 0.909, 0.909], [0.658, 0.156, 0.658], [0.294, 0.004, 0.702], [0.000, 0.496, 0.000], [0.346, 0.346, 0.346], [0.343, 0.845, 0.343], [0.000, 0.000, 0.496], [0.343, 0.343, 0.845], [0.658, 0.658, 0.156], [0.845, 0.343, 0.343], [0.294, 0.702, 0.004], [0.004, 0.702, 0.294], [0.702, 0.004, 0.294], [0.004, 0.294, 0.702], [0.702, 0.294, 0.004], [0.156, 0.658, 0.658], [0.496, 0.000, 0.000]],
  "e_form_ev_per_atom": -0.008
}

---

Entry 7:
{
  "formula": "Mg2InRh3",
  "functional": "GGA-PBE",
  "state": "optimized geometry",
  "lattice": [[-2.521, 1.333, 1.394], [-1.755, -2.538, -0.746], [2.370, -4.031, 8.141]],
  "species": ["In", "Rh", "Mg", "Rh", "Rh", "Mg"],
  "fractional_positions": [[0.500, 0.500, 0.500], [0.000, 0.000, 0.328], [0.500, 0.500, 0.161], [0.000, 0.000, 0.672], [0.000, 0.000, 0.000], [0.500, 0.500, 0.839]],
  "e_form_ev_per_atom": -0.495
}

---

Entry 8:
{
  "formula": "Li2Y",
  "functional": "GGA-PBE",
  "state": "optimized geometry",
  "lattice": [[-1.710, 7.967, 1.636], [-0.532, -7.587, 3.349], [3.094, 0.384, 1.362]],
  "species": ["Li", "Y", "Li", "Li", "Y", "Li"],
  "fractional_positions": [[0.725, 0.275, 0.750], [0.096, 0.904, 0.750], [0.432, 0.568, 0.750], [0.275, 0.725, 0.250], [0.904, 0.096, 0.250], [0.568, 0.432, 0.250]],
  "e_form_ev_per_atom": 0.146
}

---

Entry 9:
{
  "formula": "Ba6Sr2Cd",
  "functional": "GGA-PBE",
  "state": "optimized geometry",
  "lattice": [[4.485, 0.000, 0.000], [0.000, 10.478, -4.825], [0.000, -1.122, 11.352]],
  "species": ["Sr", "Ba", "Ba", "Ba", "Ba", "Ba", "Sr", "Ba", "Cd"],
  "fractional_positions": [[0.000, 0.330, 0.659], [0.000, 0.991, 0.242], [0.500, 0.619, 0.000], [0.500, 0.362, 0.359], [0.500, 0.003, 0.641], [0.000, 0.749, 0.758], [0.000, 0.671, 0.341], [0.000, 0.263, 0.000], [0.500, 0.012, 0.000]],
  "e_form_ev_per_atom": -0.030
}

---

Entry 10:
{
  "formula": "NaCaNb",
  "functional": "GGA-PBE",
  "state": "optimized geometry",
  "lattice": [[4.587, -0.084, -0.109], [-1.540, 4.325, 0.111], [0.038, 3.182, 9.424]],
  "species": ["Na", "Nb", "Ca", "Na", "Ca", "Nb"],
  "fractional_positions": [[0.420, 0.507, 0.531], [0.725, 0.999, 0.735], [0.729, 0.617, 0.114], [0.059, 0.026, 0.376], [0.344, 0.209, 0.906], [0.034, 0.683, 0.742]],
  "e_form_ev_per_atom": 0.588
}

---

Entry 11:
{
  "formula": "CrTcW2",
  "functional": "GGA-PBE",
  "state": "optimized geometry",
  "lattice": [[3.076, 0.000, 0.000], [0.000, 3.076, 0.000], [0.000, 0.000, 6.193]],
  "species": ["Tc", "Cr", "W", "W"],
  "fractional_positions": [[0.500, 0.500, 0.750], [0.500, 0.500, 0.250], [0.000, 0.000, 0.013], [0.000, 0.000, 0.487]],
  "e_form_ev_per_atom": 0.018
}

---

Entry 12:
{
  "formula": "AgTePbF",
  "functional": "GGA-PBE",
  "state": "optimized geometry",
  "lattice": [[4.303, 0.000, 0.000], [0.000, 4.303, 0.000], [0.000, 0.000, 10.053]],
  "species": ["Ag", "F", "Pb", "Ag", "Te", "Te", "F", "Pb"],
  "fractional_positions": [[0.500, 0.500, 0.500], [0.000, 0.000, 0.000], [0.500, 0.000, 0.146], [0.000, 0.000, 0.500], [0.000, 0.500, 0.302], [0.500, 0.000, 0.698], [0.500, 0.500, 0.000], [0.000, 0.500, 0.854]],
  "formation_energy_uncorrected_mev_per_atom": -990
}

---

Entry 13:
{
  "formula": "AlAsP2",
  "functional": "GGA-PBE",
  "state": "optimized geometry",
  "lattice": [[5.583, -0.019, -0.225], [4.825, 2.808, -0.225], [-0.346, -0.093, 5.109]],
  "species": ["P", "Al", "As", "P"],
  "fractional_positions": [[0.425, 0.425, 0.638], [0.750, 0.750, 0.750], [0.250, 0.250, 0.250], [0.075, 0.075, 0.862]],
  "e_form_ev_per_atom": 0.310
}

---

Results for final energy: -4.21 -7.19 -4.48 -3.34 -2.22 -8.97 -5.16 -3.28 -1.79 -3.88 -11.46 -3.88 -4.49 (in eV/atom, following the order of the records).
Results for ρ: 6.80 8.81 4.30 5.35 3.30 9.10 8.28 2.33 3.63 2.81 14.68 8.24 3.39 (in g cm⁻³, following the order of the records).